Compound: TbHo2
Source: the Open Quantum Materials Database
Functional: PBE-GGA
Structure: relaxed

Output
E_tot	-3.8570	eV per atom
energy of formation from the pure elements	737	meV/atom
space group	Fm-3m, No. 225
spin magnetization	0.0	μB/f.u.

Geometry as POSCAR:
```
TbHo2
1.0
0.0000 3.8113 3.8113
3.8113 0.0000 3.8113
3.8113 3.8113 0.0000
Tb Ho
1 2
direct
0.0000 0.0000 0.0000
0.2500 0.2500 0.2500
0.7500 0.7500 0.7500
```